Compound: TmTlZnS3
Source: the Open Quantum Materials Database
Functional: PBE
Structure: optimized geometry

Summary:
Symmetry: No. 62
E, eV/atom: -4.640
Relative energy among the computed polymorphs, eV per formula unit: 0.00

a = 10.455 Å, b = 3.934 Å, c = 14.281 Å
α = 90.00°, β = 90.00°, γ = 90.00°
Sites, in units of the cell vectors:
1 Tm 0.017 0.250 0.245
2 Tm 0.483 0.750 0.745
3 Tm 0.517 0.250 0.255
4 Tm 0.983 0.750 0.755
5 Tl 0.225 0.750 0.498
6 Tl 0.275 0.250 0.998
7 Tl 0.725 0.750 0.002
8 Tl 0.775 0.250 0.502
9 Zn 0.234 0.250 0.713
10 Zn 0.266 0.750 0.213
11 Zn 0.734 0.250 0.787
12 Zn 0.766 0.750 0.287
13 S 0.042 0.250 0.631
14 S 0.081 0.750 0.125
15 S 0.235 0.750 0.812
16 S 0.265 0.250 0.312
17 S 0.419 0.250 0.625
18 S 0.458 0.750 0.131
19 S 0.542 0.250 0.869
20 S 0.581 0.750 0.375
21 S 0.735 0.750 0.688
22 S 0.765 0.250 0.188
23 S 0.919 0.250 0.875
24 S 0.958 0.750 0.369

***

Compound: TmTlZnS3
Source: the Open Quantum Materials Database
Functional: PBE
Structure: optimized geometry

Summary:
Symmetry: No. 12
E, eV/atom: -4.497
Relative energy among the computed polymorphs, eV per formula unit: 0.86

a = 8.378 Å, b = 8.378 Å, c = 8.839 Å
α = 103.20°, β = 103.20°, γ = 27.63°
Sites, in units of the cell vectors:
1 Tm 0.169 0.169 0.087
2 Tm 0.831 0.831 0.913
3 Tl 0.143 0.143 0.562
4 Tl 0.857 0.857 0.438
5 Zn 0.498 0.498 0.782
6 Zn 0.502 0.502 0.218
7 S 0.000 0.000 0.000
8 S 0.340 0.340 0.129
9 S 0.347 0.347 0.723
10 S 0.500 0.500 0.500
11 S 0.653 0.653 0.277
12 S 0.660 0.660 0.871

***

Compound: TmTlZnS3
Source: the Open Quantum Materials Database
Functional: PBE
Structure: optimized geometry

Summary:
Symmetry: No. 62
E, eV/atom: -4.625
Relative energy among the computed polymorphs, eV per formula unit: 0.09

a = 14.489 Å, b = 3.939 Å, c = 10.609 Å
α = 90.00°, β = 90.00°, γ = 90.00°
Sites, in units of the cell vectors:
1 Tm 0.023 0.250 0.155
2 Tm 0.477 0.750 0.655
3 Tm 0.523 0.250 0.345
4 Tm 0.977 0.750 0.845
5 Tl 0.243 0.250 0.460
6 Tl 0.257 0.750 0.960
7 Tl 0.743 0.250 0.040
8 Tl 0.757 0.750 0.540
9 Zn 0.019 0.750 0.401
10 Zn 0.481 0.250 0.901
11 Zn 0.519 0.750 0.099
12 Zn 0.981 0.250 0.599
13 S 0.076 0.750 0.615
14 S 0.093 0.250 0.923
15 S 0.132 0.750 0.247
16 S 0.368 0.250 0.747
17 S 0.407 0.750 0.423
18 S 0.424 0.250 0.115
19 S 0.576 0.750 0.885
20 S 0.593 0.250 0.577
21 S 0.632 0.750 0.253
22 S 0.868 0.250 0.753
23 S 0.907 0.750 0.077
24 S 0.924 0.250 0.385

***

Compound: U3Tl2S8
Source: the Open Quantum Materials Database
Functional: PBE
Structure: optimized geometry

Summary:
Symmetry: No. 12
E, eV/atom: -6.608

a = 8.567 Å, b = 8.567 Å, c = 6.899 Å
α = 106.06°, β = 106.06°, γ = 56.20°
Sites, in units of the cell vectors:
1 U 0.000 0.000 0.000
2 U 0.256 0.744 0.500
3 U 0.744 0.256 0.500
4 Tl 0.270 0.270 0.842
5 Tl 0.730 0.730 0.158
6 S 0.095 0.095 0.402
7 S 0.127 0.677 0.114
8 S 0.323 0.873 0.886
9 S 0.397 0.397 0.549
10 S 0.603 0.603 0.451
11 S 0.677 0.127 0.114
12 S 0.873 0.323 0.886
13 S 0.905 0.905 0.598

***

Compound: UTl2S4
Source: the Open Quantum Materials Database
Functional: PBE
Structure: optimized geometry

Summary:
Symmetry: No. 55
E, eV/atom: -5.493

a = 8.384 Å, b = 12.059 Å, c = 4.079 Å
α = 90.00°, β = 90.00°, γ = 90.00°
Sites, in units of the cell vectors:
1 U 0.000 0.000 0.000
2 U 0.500 0.500 0.000
3 Tl 0.100 0.316 0.500
4 Tl 0.400 0.816 0.500
5 Tl 0.600 0.184 0.500
6 Tl 0.900 0.684 0.500
7 S 0.119 0.813 0.000
8 S 0.181 0.055 0.500
9 S 0.319 0.555 0.500
10 S 0.381 0.313 0.000
11 S 0.619 0.687 0.000
12 S 0.681 0.445 0.500
13 S 0.819 0.945 0.500
14 S 0.881 0.187 0.000

***

Compound: Tl3WS4
Source: the Open Quantum Materials Database
Functional: PBE
Structure: optimized geometry

Summary:
Symmetry: No. 1
E, eV/atom: -4.976

a = 6.425 Å, b = 6.560 Å, c = 11.978 Å
α = 95.77°, β = 98.87°, γ = 106.03°
Sites, in units of the cell vectors:
1 Tl 0.000 0.000 0.000
2 Tl 0.025 0.979 0.477
3 Tl 0.261 0.674 0.199
4 Tl 0.326 0.796 0.775
5 Tl 0.551 0.483 0.497
6 Tl 0.589 0.474 0.977
7 W 0.729 0.208 0.242
8 W 0.857 0.263 0.733
9 S 0.009 0.427 0.597
10 S 0.043 0.431 0.909
11 S 0.077 0.198 0.258
12 S 0.509 0.274 0.719
13 S 0.546 0.043 0.067
14 S 0.574 0.042 0.378
15 S 0.729 0.551 0.256
16 S 0.856 0.920 0.720

***

Compound: YTlZnS3
Source: the Open Quantum Materials Database
Functional: PBE
Structure: optimized geometry

Summary:
Symmetry: No. 63
E, eV/atom: -4.971
Relative energy among the computed polymorphs, eV per formula unit: 0.00

a = 7.387 Å, b = 7.387 Å, c = 10.567 Å
α = 90.00°, β = 90.00°, γ = 148.79°
Sites, in units of the cell vectors:
1 Y 0.000 0.000 0.000
2 Y 0.000 0.000 0.500
3 Tl 0.254 0.746 0.750
4 Tl 0.746 0.254 0.250
5 Zn 0.460 0.540 0.250
6 Zn 0.540 0.460 0.750
7 S 0.060 0.940 0.250
8 S 0.375 0.625 0.063
9 S 0.375 0.625 0.437
10 S 0.625 0.375 0.563
11 S 0.625 0.375 0.937
12 S 0.940 0.060 0.750

***

Compound: YTlZnS3
Source: the Open Quantum Materials Database
Functional: PBE
Structure: optimized geometry

Summary:
Symmetry: No. 12
E, eV/atom: -4.827
Relative energy among the computed polymorphs, eV per formula unit: 0.87

a = 8.441 Å, b = 8.441 Å, c = 8.867 Å
α = 103.93°, β = 103.93°, γ = 27.76°
Sites, in units of the cell vectors:
1 Y 0.170 0.170 0.093
2 Y 0.830 0.830 0.907
3 Tl 0.141 0.141 0.563
4 Tl 0.859 0.859 0.437
5 Zn 0.499 0.499 0.782
6 Zn 0.501 0.501 0.218
7 S 0.000 0.000 0.000
8 S 0.342 0.342 0.128
9 S 0.349 0.349 0.717
10 S 0.500 0.500 0.500
11 S 0.651 0.651 0.283
12 S 0.658 0.658 0.872

***

Compound: YTlZnS3
Source: the Open Quantum Materials Database
Functional: PBE
Structure: optimized geometry

Summary:
Symmetry: No. 62
E, eV/atom: -4.919
Relative energy among the computed polymorphs, eV per formula unit: 0.32

a = 11.240 Å, b = 4.095 Å, c = 11.967 Å
α = 90.00°, β = 90.00°, γ = 90.00°
Sites, in units of the cell vectors:
1 Y 0.023 0.250 0.169
2 Y 0.477 0.750 0.669
3 Y 0.523 0.250 0.331
4 Y 0.977 0.750 0.831
5 Tl 0.161 0.250 0.508
6 Tl 0.339 0.750 0.008
7 Tl 0.661 0.250 0.992
8 Tl 0.839 0.750 0.492
9 Zn 0.249 0.250 0.800
10 Zn 0.251 0.750 0.300
11 Zn 0.749 0.250 0.700
12 Zn 0.751 0.750 0.200
13 S 0.046 0.750 0.323
14 S 0.102 0.250 0.939
15 S 0.222 0.750 0.699
16 S 0.278 0.250 0.199
17 S 0.398 0.750 0.439
18 S 0.454 0.250 0.823
19 S 0.546 0.750 0.177
20 S 0.602 0.250 0.561
21 S 0.722 0.750 0.801
22 S 0.778 0.250 0.301
23 S 0.898 0.750 0.061
24 S 0.954 0.250 0.677

***

Compound: YTlZnS3
Source: the Open Quantum Materials Database
Functional: PBE
Structure: optimized geometry

Summary:
Symmetry: No. 11
E, eV/atom: -4.952
Relative energy among the computed polymorphs, eV per formula unit: 0.12

a = 8.066 Å, b = 3.973 Å, c = 10.284 Å
α = 90.00°, β = 109.35°, γ = 90.00°
Sites, in units of the cell vectors:
1 Y 0.190 0.250 0.138
2 Y 0.810 0.750 0.862
3 Tl 0.228 0.750 0.715
4 Tl 0.772 0.250 0.285
5 Zn 0.425 0.750 0.392
6 Zn 0.575 0.250 0.608
7 S 0.046 0.250 0.861
8 S 0.283 0.250 0.436
9 S 0.434 0.750 0.169
10 S 0.566 0.250 0.831
11 S 0.717 0.750 0.564
12 S 0.954 0.750 0.139

***

Compound: YTlZnS3
Source: the Open Quantum Materials Database
Functional: PBE
Structure: optimized geometry

Summary:
Symmetry: No. 62
E, eV/atom: -4.905
Relative energy among the computed polymorphs, eV per formula unit: 0.40

a = 9.719 Å, b = 3.992 Å, c = 14.947 Å
α = 90.00°, β = 90.00°, γ = 90.00°
Sites, in units of the cell vectors:
1 Y 0.174 0.250 0.058
2 Y 0.326 0.750 0.558
3 Y 0.674 0.250 0.442
4 Y 0.826 0.750 0.942
5 Tl 0.015 0.750 0.323
6 Tl 0.485 0.250 0.823
7 Tl 0.515 0.750 0.177
8 Tl 0.985 0.250 0.677
9 Zn 0.171 0.750 0.865
10 Zn 0.329 0.250 0.365
11 Zn 0.671 0.750 0.635
12 Zn 0.829 0.250 0.135
13 S 0.023 0.250 0.896
14 S 0.177 0.250 0.485
15 S 0.220 0.750 0.718
16 S 0.280 0.250 0.218
17 S 0.323 0.750 0.985
18 S 0.477 0.750 0.396
19 S 0.523 0.250 0.604
20 S 0.677 0.250 0.015
21 S 0.720 0.750 0.782
22 S 0.780 0.250 0.282
23 S 0.823 0.750 0.515
24 S 0.977 0.750 0.104

***

Compound: YTlZnS3
Source: the Open Quantum Materials Database
Functional: PBE
Structure: optimized geometry

Summary:
Symmetry: No. 62
E, eV/atom: -4.972
Relative energy among the computed polymorphs, eV per formula unit: 0.00

a = 10.606 Å, b = 3.978 Å, c = 14.234 Å
α = 90.00°, β = 90.00°, γ = 90.00°
Sites, in units of the cell vectors:
1 Y 0.014 0.250 0.243
2 Y 0.486 0.750 0.743
3 Y 0.514 0.250 0.257
4 Y 0.986 0.750 0.757
5 Tl 0.224 0.750 0.496
6 Tl 0.276 0.250 0.996
7 Tl 0.724 0.750 0.004
8 Tl 0.776 0.250 0.504
9 Zn 0.237 0.250 0.712
10 Zn 0.263 0.750 0.212
11 Zn 0.737 0.250 0.788
12 Zn 0.763 0.750 0.288
13 S 0.047 0.250 0.630
14 S 0.082 0.750 0.121
15 S 0.239 0.750 0.811
16 S 0.261 0.250 0.311
17 S 0.418 0.250 0.621
18 S 0.453 0.750 0.130
19 S 0.547 0.250 0.870
20 S 0.582 0.750 0.379
21 S 0.739 0.750 0.689
22 S 0.761 0.250 0.189
23 S 0.918 0.250 0.879
24 S 0.953 0.750 0.370

***

Compound: YTlZnS3
Source: the Open Quantum Materials Database
Functional: PBE
Structure: optimized geometry

Summary:
Symmetry: No. 62
E, eV/atom: -4.955
Relative energy among the computed polymorphs, eV per formula unit: 0.10

a = 14.469 Å, b = 3.977 Å, c = 10.741 Å
α = 90.00°, β = 90.00°, γ = 90.00°
Sites, in units of the cell vectors:
1 Y 0.023 0.250 0.156
2 Y 0.477 0.750 0.656
3 Y 0.523 0.250 0.344
4 Y 0.977 0.750 0.844
5 Tl 0.243 0.250 0.461
6 Tl 0.257 0.750 0.961
7 Tl 0.743 0.250 0.039
8 Tl 0.757 0.750 0.539
9 Zn 0.018 0.750 0.402
10 Zn 0.482 0.250 0.902
11 Zn 0.518 0.750 0.098
12 Zn 0.982 0.250 0.598
13 S 0.075 0.750 0.613
14 S 0.094 0.250 0.923
15 S 0.134 0.750 0.251
16 S 0.366 0.250 0.751
17 S 0.406 0.750 0.423
18 S 0.425 0.250 0.113
19 S 0.575 0.750 0.887
20 S 0.594 0.250 0.577
21 S 0.634 0.750 0.249
22 S 0.866 0.250 0.749
23 S 0.906 0.750 0.077
24 S 0.925 0.250 0.387

***

Compound: ZrTl2S3
Source: the Open Quantum Materials Database
Functional: PBE
Structure: optimized geometry

Summary:
Symmetry: No. 62
E, eV/atom: -5.250

a = 15.168 Å, b = 3.786 Å, c = 11.487 Å
α = 90.00°, β = 90.00°, γ = 90.00°
Sites, in units of the cell vectors:
1 Zr 0.070 0.250 0.122
2 Zr 0.430 0.750 0.622
3 Zr 0.570 0.250 0.378
4 Zr 0.930 0.750 0.878
5 Tl 0.082 0.250 0.630
6 Tl 0.219 0.750 0.364
7 Tl 0.281 0.250 0.864
8 Tl 0.418 0.750 0.130
9 Tl 0.582 0.250 0.870
10 Tl 0.719 0.750 0.136
11 Tl 0.781 0.250 0.636
12 Tl 0.918 0.750 0.370
13 S 0.050 0.250 0.890
14 S 0.065 0.250 0.341
15 S 0.184 0.750 0.104
16 S 0.316 0.250 0.604
17 S 0.435 0.750 0.841
18 S 0.450 0.750 0.390
19 S 0.550 0.250 0.610
20 S 0.565 0.250 0.159
21 S 0.684 0.750 0.396
22 S 0.816 0.250 0.896
23 S 0.935 0.750 0.659
24 S 0.950 0.750 0.110

***

Compound: ZrTl2S3
Source: the Open Quantum Materials Database
Functional: PBE
Structure: optimized geometry

Summary:
Symmetry: No. 63
E, eV/atom: -5.152

a = 8.318 Å, b = 8.318 Å, c = 11.330 Å
α = 90.00°, β = 90.00°, γ = 154.08°
Sites, in units of the cell vectors:
1 Zr 0.000 0.000 0.000
2 Zr 0.000 0.000 0.500
3 Tl 0.350 0.650 0.750
4 Tl 0.354 0.646 0.250
5 Tl 0.646 0.354 0.750
6 Tl 0.650 0.350 0.250
7 S 0.000 0.000 0.250
8 S 0.000 0.000 0.750
9 S 0.392 0.608 0.501
10 S 0.392 0.608 0.999
11 S 0.608 0.392 0.001
12 S 0.608 0.392 0.499